Entry 1:
Entry from the Alexandria database: crystalline Pr3BiO at its relaxed geometry (PBE-GGA).

Cell lengths 5.0508, 5.0508, 5.0508 Å; angles 90.00, 90.00, 90.00 degrees
Fractional positions:
Pr 0.0000 0.5000 0.0000
Pr 0.0000 0.0000 0.5000
Pr 0.5000 0.0000 0.0000
Bi 0.5000 0.5000 0.5000
O 0.0000 0.0000 0.0000

- Total magnetization: 0.0 μB per formula unit
- N(E_F): 6.18 states/eV per cell
- ΔE to the lowest computed polymorph: 5 meV/atom
- Volume: 25.77 Å³ per atom
- Total energy: -30.1 eV/cell
- Energy relative to the elements, uncorrected: -1.379 eV per atom



Entry 2:
Entry from the Alexandria database: crystalline K2Ba2O3 at its relaxed geometry (PBE-GGA).

Cell lengths 3.9714, 6.9962, 6.8778 Å; angles 103.68, 90.00, 106.49 degrees
Fractional positions:
K 0.8434 0.6868 0.6401
K 0.1566 0.3132 0.3599
Ba 0.6253 0.2507 0.9037
Ba 0.3747 0.7493 0.0963
O 0.0000 0.0000 0.0000
O 0.7669 0.5338 0.2306
O 0.2331 0.4662 0.7694

- Total magnetization: 0.0 μB per formula unit
- Volume: 25.37 Å³ per atom
- Total energy: -33.8 eV/cell
- Energy relative to the elements, uncorrected: -1.837 eV per atom



Entry 3:
Entry from the Alexandria database: crystalline Tm4PuCd5 at its relaxed geometry (PBE-GGA).

Cell lengths 3.7734, 3.7734, 17.9695 Å; angles 90.00, 90.00, 90.00 degrees
Each line ends with the local moment (μB).
Fractional positions:
Tm 0.0000 0.0000 0.2031  0.06
Tm 0.0000 0.0000 0.4012  0.03
Tm 0.0000 0.0000 0.5988  0.03
Tm 0.0000 0.0000 0.7969  0.06
Pu 0.0000 0.0000 0.0000  5.55
Cd 0.5000 0.5000 0.1087  0.01
Cd 0.5000 0.5000 0.3031  0.01
Cd 0.5000 0.5000 0.5000  0.00
Cd 0.5000 0.5000 0.6969  0.01
Cd 0.5000 0.5000 0.8913  0.01

- Total magnetization: 6.3 μB per formula unit
- N(E_F): 13.58 states/eV per cell
- Volume: 25.59 Å³ per atom
- Total energy: -39.1 eV/cell